The following is a PBE calculation of LiAlSn after structural relaxation, from Alexandria.

Lattice parameters (Å, degrees): 9.325 4.677 3.227 108.75 90.04 102.70
Element x y z (fractional)
Li (0.532, 0.733, 0.172)
Li (0.376, 0.124, 0.843)
Sn (0.214, 0.598, 0.077)
Sn (0.669, 0.349, 0.481)
Al (0.065, 0.074, 0.316)
Al (0.823, 0.972, 0.772)

Values from the calculation:
Space-group type: P1 (1)
V (A^3/atom): 21.607
E_form (meV per atom): -56
Mass density (g/cm³): 3.910

The following is a PBE calculation of LiAlSn after structural relaxation, from Alexandria.

Lattice parameters (Å, degrees): 4.560 6.088 5.896 58.92 67.25 90.00
Element x y z (fractional)
Li (0.500, 0.246, 0.000)
Li (0.500, 0.754, 0.000)
Sn (0.176, 0.676, 0.648)
Sn (0.824, 0.324, 0.352)
Al (0.148, 0.148, 0.705)
Al (0.852, 0.852, 0.295)

Values from the calculation:
Space-group type: Immm (71)
V (A^3/atom): 20.843
E_form (meV per atom): -111
Mass density (g/cm³): 4.053

The following is a PBE calculation of Li6AlSn after structural relaxation, from Alexandria.

Lattice parameters (Å, degrees): 4.428 5.662 5.662 102.85 90.00 90.00
Element x y z (fractional)
Li (0.000, 0.102, 0.360)
Li (0.000, 0.640, 0.898)
Li (0.000, 0.592, 0.408)
Li (0.500, 0.396, 0.136)
Li (0.500, 0.864, 0.604)
Li (0.500, 0.905, 0.095)
Al (0.000, 0.138, 0.862)
Sn (0.500, 0.364, 0.636)

Values from the calculation:
Space-group type: Amm2 (38)
V (A^3/atom): 17.296
E_form (meV per atom): -208
Mass density (g/cm³): 2.248